Crystalline TaFeAu at its relaxed geometry, computed with PBE-GGA.

Lattice parameters (Å, degrees): 4.2685 4.2685 4.2685 60.00 60.00 60.00
Closest atoms and distances in Å follow each position.
Positions (direct):
Ta 0.0000 0.0000 0.0000  4 Fe 2.61, 4 Au 2.61
Fe 0.7500 0.7500 0.7500  4 Ta 2.61
Au 0.2500 0.2500 0.2500  4 Ta 2.61

space-group type = No. 216
energy of formation = 0.64 eV/atom
M_tot = 0.00 Bohr magnetons per cell
calculated density = 13.1 g/cm³
total DFT energy (no corrections) = -21.68 eV/cell